(1)
Density functional theory data (PBE-GGA) for a geometry-optimized TlZnSb2Te structure.

As for the formation energy from raw total energies: 0.918 eV per atom. The energy above the lowest structure with this stoichiometry is 607.1 meV/atom.

The space group is P4/mmm (No. 123) and the conventional cell measures 5.767, 5.767 and 5.841 Å, with angles of 90.00, 90.00 and 90.00 degrees. Symmetry generates all atoms from Tl at (0.000, 0.000, 0.000), Zn at (0.500, 0.500, 0.500), Sb at (0.000, 0.500, 0.000) and Te at (0.000, 0.000, 0.500).

***

(2)
Density functional theory data (PBE-GGA) for a geometry-optimized TlZnSbTe3 structure.

As for the formation energy from raw total energies: -0.280 eV per atom.

The space group is P2_1/m (No. 11) and the conventional cell measures 9.506, 4.402 and 10.122 Å, with angles of 90.00, 105.03 and 90.00 degrees. Symmetry generates all atoms from Tl at (0.193, 0.250, 0.232), Zn at (0.081, 0.250, 0.602), Sb at (0.332, 0.750, 0.868), Te at (0.108, 0.250, 0.873), Te at (0.213, 0.750, 0.528) and Te at (0.446, 0.750, 0.166).

***

(3)
Density functional theory data (PBE-GGA) for a geometry-optimized ZrTl3Sb2Te6 structure.

As for the formation energy from raw total energies: -0.357 eV per atom.

The space group is C2/m (No. 12) and the conventional cell measures 7.752, 13.405 and 8.286 Å, with angles of 90.00, 108.16 and 90.00 degrees. Symmetry generates all atoms from Zr at (0.000, 0.000, 0.000), Tl at (0.000, 0.168, 0.500), Tl at (0.000, 0.500, 0.500), Sb at (0.000, 0.333, 0.000), Te at (0.229, 0.160, 0.208) and Te at (0.250, 0.000, 0.793).

***

(4)
Density functional theory data (PBE-GGA) for a geometry-optimized Tm7Sb4Te4 structure.

As for the formation energy from raw total energies: -1.009 eV per atom.

The space group is I4/mmm (No. 139) and the conventional cell measures 14.984, 14.984 and 8.051 Å, with angles of 90.00, 90.00 and 90.00 degrees. Symmetry generates all atoms from Tm at (0.000, 0.000, 0.240), Tm at (0.000, 0.285, 0.000), Tm at (0.000, 0.361, 0.500), Tm at (0.209, 0.209, 0.500), Sb at (0.147, 0.353, 0.250), Te at (0.000, 0.163, 0.500) and Te at (0.122, 0.122, 0.000).